The following is a PBE calculation of crystalline Sr4LaTe5 at its relaxed geometry, from the Alexandria database.

Results
**DOS(E_F)**: 2.25 states/eV/f.u.
**Volume**: 36.81 A^3/atom
**E**: -44.33 eV for the cell shown
**E_form (uncorrected)**: -39.1 kcal/mol of atoms
**Spin magnetization**: 0.000 Bohr magnetons per cell

a = 17.014 Å, b = 17.014 Å, c = 17.014 Å
α = 164.13°, β = 164.13°, γ = 22.51°
Sites, in units of the cell vectors:
Sr 0.099 0.099 0.000
Sr 0.300 0.300 0.000
Sr 0.700 0.700 0.000
Sr 0.901 0.901 0.000
La 0.500 0.500 0.000
Te 0.000 0.000 0.000
Te 0.200 0.200 0.000
Te 0.402 0.402 0.000
Te 0.598 0.598 0.000
Te 0.800 0.800 0.000